Here is a geometry-optimized LiAuBr2 structure from the Alexandria database. Energies are from PBE.

Cell: 3.808 3.808 15.848 Å, 90.00 90.00 90.00°
Space group I-4m2 (No. 119)
Symmetry-distinct sites (fractional):
Li 0.000 0.000 0.000 x2
Au 0.000 0.500 0.250 x2
Br 0.000 0.000 0.500 x2
Br 0.000 0.500 0.750 x2

Properties
* E_tot: -2.73 eV/atom
* ΔE to the lowest computed polymorph: 0.183 eV per atom
* formation energy from raw total energies: -0.599 eV per atom